{
  "formula": "RbV2BiBr",
  "functional": "GGA-PBE",
  "state": "optimized geometry",
  "cell": [[5.723, 0.000, 0.000], [0.000, 5.723, 0.000], [0.000, 0.000, 5.636]],
  "species": ["Rb", "V", "V", "Bi", "Br"],
  "frac_coords": [[0.000, 0.000, 0.000], [0.000, 0.500, 0.000], [0.500, 0.000, 0.000], [0.500, 0.500, 0.500], [0.000, 0.000, 0.500]],
  "final_energy_ev_per_atom": -3.27,
  "e_form_raw_ev_per_atom": 1.678,
  "volume_a3_per_atom": 36.92,
  "total_magnetization_mub_per_fu": 7.06,
  "dos_at_fermi_per_ev_atom": 1.984
}